# 1
## CuSbAu2 (PBE)

Data for a relaxed CuSbAu2 crystal.

Cell lengths 4.0805, 4.0805, 9.9143 Å; angles 78.12, 78.12, 90.00 degrees
Last column: nearest neighbours and their distance in Å.
Atoms (fractional coordinates):
1 Au 0.8750 0.8641 0.7500  2 Cu 2.76, 2 Sb 2.79, 4 Au 2.82-2.95
2 Au 0.6141 0.1250 0.2500  2 Cu 2.76, 2 Sb 2.79, 4 Au 2.82-2.95
3 Cu 0.5000 0.5000 0.0000  4 Au 2.76, 4 Sb 2.89
4 Sb 0.7500 0.2500 0.5000  4 Au 2.79, 4 Cu 2.89
5 Sb 0.0000 0.0000 0.0000  4 Au 2.79, 4 Cu 2.89
6 Au 0.3750 0.3859 0.7500  2 Cu 2.76, 2 Sb 2.79, 4 Au 2.82-2.95
7 Cu 0.2500 0.7500 0.5000  4 Au 2.76, 4 Sb 2.89
8 Au 0.1359 0.6250 0.2500  2 Cu 2.76, 2 Sb 2.79, 4 Au 2.82-2.95

Space group: I-42d
Total magnetic moment in μB/cell: 0.000
Formation energy (no corrections) in eV/f.u.: 0.397


# 2
## CuSb2Au (PBE)

Data for a relaxed CuSb2Au crystal.

Cell lengths 4.9115, 4.9959, 4.8421 Å; angles 68.78, 75.56, 111.76 degrees
Last column: nearest neighbours and their distance in Å.
Atoms (fractional coordinates):
1 Sb 0.0000 0.0000 0.0000  2 Cu 2.78, 2 Au 2.78, 2 Sb 2.99
2 Sb 0.5000 0.0000 0.5000  2 Au 2.78, 2 Cu 2.78, 2 Sb 2.99
3 Cu 0.5000 0.5000 0.0000  4 Sb 2.78, 2 Au 2.99
4 Au 0.0000 0.5000 0.5000  4 Sb 2.78, 2 Cu 2.99

E above lowest polymorph in kJ/mol of atoms: 11.2
Space group: C2/m
Total magnetic moment in μB/cell: 0.000
Formation energy (no corrections) in eV/f.u.: 0.515


# 3
## CuSb2Au (PBE)

Data for a relaxed CuSb2Au crystal.

Cell lengths 4.6842, 4.8334, 4.8530 Å; angles 61.07, 90.00, 90.00 degrees
Last column: nearest neighbours and their distance in Å.
Atoms (fractional coordinates):
1 Sb 0.0000 0.8787 0.8814  2 Cu 2.74, 3 Au 2.76-2.84
2 Au 0.0000 0.5494 0.5486  2 Cu 2.70, 5 Sb 2.76-2.84
3 Cu 0.5000 0.7088 0.7094  2 Au 2.70, 5 Sb 2.74-2.90
4 Sb 0.5000 0.3631 0.3606  3 Cu 2.77-2.90, 2 Au 2.81

E above lowest polymorph in kJ/mol of atoms: 0.0
Space group: Pm
Total magnetic moment in μB/cell: 0.000
Formation energy (no corrections) in eV/f.u.: 0.051


# 4
## Cu2Sb2Au (PBE)

Data for a relaxed Cu2Sb2Au crystal.

Cell lengths 5.2584, 5.2584, 5.2612 Å; angles 60.02, 60.02, 90.00 degrees
Last column: nearest neighbours and their distance in Å.
Atoms (fractional coordinates):
1 Cu 0.6567 0.6567 0.6866  1 Cu 2.33, 1 Au 2.56
2 Sb 0.7500 0.2500 0.5000  4 Cu 2.72
3 Cu 0.3433 0.3433 0.3134  1 Cu 2.33, 1 Au 2.56
4 Au 0.0000 0.0000 0.0000  2 Cu 2.56
5 Sb 0.2500 0.7500 0.5000  4 Cu 2.72

E above lowest polymorph in kJ/mol of atoms: 18.6
Space group: I4/mmm
Total magnetic moment in μB/cell: 0.000
Formation energy (no corrections) in eV/f.u.: 1.498


# 5
## Cu3Sb12Au5 (PBE)

Data for a relaxed Cu3Sb12Au5 crystal.

Cell lengths 14.0379, 14.0379, 14.0379 Å; angles 109.47, 109.47, 109.47 degrees
Last column: nearest neighbours and their distance in Å.
Atoms (fractional coordinates):
1 Sb 0.8254 0.8852 0.2627  1 Cu 2.67, 2 Au 2.71-2.84
2 Sb 0.0598 0.1746 0.4373  1 Cu 2.67, 2 Au 2.71-2.84
3 Sb 0.7627 0.4373 0.3775  1 Cu 2.67, 2 Au 2.71-2.84
4 Cu 0.3750 0.7500 0.6250  4 Sb 2.67
5 Cu 0.1250 0.2500 0.8750  4 Sb 2.67
6 Sb 0.1225 0.7373 0.5627  1 Cu 2.67, 2 Au 2.71-2.84
7 Cu 0.7500 0.8750 0.6250  4 Sb 2.67
8 Sb 0.8254 0.9402 0.0627  1 Cu 2.67, 2 Au 2.71-2.84
9 Cu 0.2500 0.1250 0.3750  4 Sb 2.67
10 Sb 0.6746 0.2373 0.6148  1 Cu 2.67, 2 Au 2.71-2.84
11 Sb 0.5627 0.3254 0.9402  1 Cu 2.67, 2 Au 2.71-2.84
12 Sb 0.5627 0.2373 0.1225  1 Cu 2.67, 2 Au 2.71-2.84
13 Sb 0.4402 0.0627 0.3254  1 Cu 2.67, 2 Au 2.71-2.84
14 Sb 0.0627 0.4402 0.8254  1 Cu 2.67, 2 Au 2.71-2.84
15 Sb 0.6746 0.4373 0.5598  1 Cu 2.67, 2 Au 2.71-2.84
16 Au 0.0000 0.0000 0.5000  6 Sb 2.84
17 Cu 0.6250 0.3750 0.7500  4 Sb 2.67
18 Au 0.6250 0.8750 0.2500  4 Sb 2.71
19 Au 0.0000 0.5000 0.0000  6 Sb 2.84
20 Sb 0.3852 0.2627 0.3254  1 Cu 2.67, 2 Au 2.71-2.84
21 Sb 0.8852 0.8254 0.7627  1 Cu 2.67, 2 Au 2.71-2.84
22 Au 0.2500 0.3750 0.6250  4 Sb 2.71
23 Sb 0.6225 0.0627 0.2373  1 Cu 2.67, 2 Au 2.71-2.84
24 Sb 0.3254 0.7627 0.3852  1 Cu 2.67, 2 Au 2.71-2.84
25 Sb 0.1746 0.0598 0.9373  1 Cu 2.67, 2 Au 2.71-2.84
26 Au 0.5000 0.5000 0.5000  6 Sb 2.84
27 Sb 0.6148 0.8775 0.4402  1 Cu 2.67, 2 Au 2.71-2.84
28 Au 0.5000 0.0000 0.0000  6 Sb 2.84
29 Sb 0.3775 0.4402 0.1148  1 Cu 2.67, 2 Au 2.71-2.84
30 Sb 0.9402 0.1148 0.8775  1 Cu 2.67, 2 Au 2.71-2.84
31 Sb 0.4373 0.6746 0.0598  1 Cu 2.67, 2 Au 2.71-2.84
32 Cu 0.1250 0.8750 0.7500  4 Sb 2.67
33 Au 0.1250 0.3750 0.2500  4 Sb 2.71
34 Au 0.0000 0.0000 0.0000  6 Sb 2.84
35 Au 0.2500 0.8750 0.1250  4 Sb 2.71
36 Sb 0.3852 0.1225 0.5598  1 Cu 2.67, 2 Au 2.71-2.84
37 Sb 0.8775 0.6148 0.9402  1 Cu 2.67, 2 Au 2.71-2.84
38 Sb 0.9373 0.3775 0.2627  1 Cu 2.67, 2 Au 2.71-2.84
39 Sb 0.6225 0.5598 0.8852  1 Cu 2.67, 2 Au 2.71-2.84
40 Sb 0.5598 0.6225 0.3852  1 Cu 2.67, 2 Au 2.71-2.84
41 Au 0.8750 0.2500 0.6250  4 Sb 2.71
42 Au 0.8750 0.6250 0.7500  4 Sb 2.71
43 Sb 0.6148 0.7373 0.6746  1 Cu 2.67, 2 Au 2.71-2.84
44 Sb 0.8852 0.0598 0.6225  1 Cu 2.67, 2 Au 2.71-2.84
45 Sb 0.5598 0.9373 0.6746  1 Cu 2.67, 2 Au 2.71-2.84
46 Sb 0.4373 0.7627 0.8775  1 Cu 2.67, 2 Au 2.71-2.84
47 Sb 0.2373 0.5627 0.6225  1 Cu 2.67, 2 Au 2.71-2.84
48 Sb 0.7627 0.3254 0.8852  1 Cu 2.67, 2 Au 2.71-2.84
49 Au 0.6250 0.7500 0.8750  4 Sb 2.71
50 Sb 0.1746 0.1148 0.7373  1 Cu 2.67, 2 Au 2.71-2.84
51 Sb 0.9402 0.8254 0.5627  1 Cu 2.67, 2 Au 2.71-2.84
52 Au 0.3750 0.2500 0.1250  4 Sb 2.71
53 Sb 0.3254 0.5627 0.4402  1 Cu 2.67, 2 Au 2.71-2.84
54 Sb 0.2627 0.8775 0.9373  1 Cu 2.67, 2 Au 2.71-2.84
55 Au 0.5000 0.0000 0.5000  6 Sb 2.84
56 Cu 0.2500 0.6250 0.8750  4 Sb 2.67
57 Au 0.7500 0.6250 0.3750  4 Sb 2.71
58 Sb 0.3775 0.9373 0.7627  1 Cu 2.67, 2 Au 2.71-2.84
59 Sb 0.8775 0.2627 0.4373  1 Cu 2.67, 2 Au 2.71-2.84
60 Cu 0.8750 0.1250 0.2500  4 Sb 2.67
61 Au 0.5000 0.5000 0.0000  6 Sb 2.84
62 Sb 0.9373 0.5598 0.1746  1 Cu 2.67, 2 Au 2.71-2.84
63 Sb 0.2627 0.3852 0.8254  1 Cu 2.67, 2 Au 2.71-2.84
64 Sb 0.1148 0.9402 0.3775  1 Cu 2.67, 2 Au 2.71-2.84
65 Sb 0.7373 0.6148 0.1746  1 Cu 2.67, 2 Au 2.71-2.84
66 Cu 0.3750 0.6250 0.2500  4 Sb 2.67
67 Cu 0.6250 0.2500 0.3750  4 Sb 2.67
68 Sb 0.2373 0.6746 0.1148  1 Cu 2.67, 2 Au 2.71-2.84
69 Sb 0.0598 0.8852 0.1225  1 Cu 2.67, 2 Au 2.71-2.84
70 Au 0.7500 0.1250 0.8750  4 Sb 2.71
71 Au 0.0000 0.5000 0.5000  6 Sb 2.84
72 Cu 0.8750 0.7500 0.1250  4 Sb 2.67
73 Au 0.3750 0.1250 0.7500  4 Sb 2.71
74 Sb 0.7373 0.1225 0.0627  1 Cu 2.67, 2 Au 2.71-2.84
75 Au 0.1250 0.7500 0.3750  4 Sb 2.71
76 Cu 0.7500 0.3750 0.1250  4 Sb 2.67
77 Sb 0.0627 0.6225 0.7373  1 Cu 2.67, 2 Au 2.71-2.84
78 Sb 0.1148 0.1746 0.2373  1 Cu 2.67, 2 Au 2.71-2.84
79 Sb 0.1225 0.3852 0.0598  1 Cu 2.67, 2 Au 2.71-2.84
80 Sb 0.4402 0.3775 0.6148  1 Cu 2.67, 2 Au 2.71-2.84

Space group: Ia-3d
Total magnetic moment in μB/cell: 0.000
Formation energy (no corrections) in eV/f.u.: 2.212


# 6
## CuSb2Au (PBE)

Data for a relaxed CuSb2Au crystal.

Cell lengths 5.1471, 5.1471, 5.1471 Å; angles 126.78, 126.78, 78.62 degrees
Last column: nearest neighbours and their distance in Å.
Atoms (fractional coordinates):
1 Cu 0.7500 0.2500 0.5000  8 Sb 3.05, 4 Au 3.26
2 Sb 0.5000 0.5000 0.0000  4 Au 3.05, 4 Cu 3.05, 4 Sb 3.26
3 Au 0.2500 0.7500 0.5000  8 Sb 3.05, 4 Cu 3.26
4 Sb 0.0000 0.0000 0.0000  4 Cu 3.05, 4 Au 3.05, 4 Sb 3.26

E above lowest polymorph in kJ/mol of atoms: 21.1
Space group: I4/mmm
Total magnetic moment in μB/cell: 0.000
Formation energy (no corrections) in eV/f.u.: 0.925